Entry 1:
Ba3Sr2Li2 PBE optimized geometry; formation energy = 27 meV per atom; space-group type = Cmmm, No. 65; total magnetic moment = 0.00 μB/f.u.
1.0
2.551 -13.845 0.000
2.551 13.845 0.000
0.000 0.000 4.951
Ba Sr Li
3 2 2
direct
0.000 0.000 0.000 Ba
0.176 0.824 0.000 Ba
0.824 0.176 0.000 Ba
0.416 0.584 0.500 Sr
0.584 0.416 0.500 Sr
0.279 0.721 0.500 Li
0.721 0.279 0.500 Li

***

Entry 2:
Ac2HoSb4Pt3 PBE optimized geometry; uncorrected formation energy = -0.90 eV/atom; space-group type = P-4m2, No. 115; total magnetic moment = 0.00 μB/f.u.
1.0
4.722 0.000 0.000
0.000 4.722 0.000
0.000 0.000 11.596
Ac Ho Sb Pt
2 1 4 3
direct
0.000 0.500 0.232 Ac
0.500 0.000 0.768 Ac
0.000 0.000 0.500 Ho
0.000 0.000 0.000 Sb
0.000 0.500 0.650 Sb
0.500 0.000 0.350 Sb
0.500 0.500 0.000 Sb
0.000 0.500 0.882 Pt
0.500 0.000 0.118 Pt
0.500 0.500 0.500 Pt